(1)
The following is a DFT calculation (PBE-GGA) of a geometry-optimized CuTcN2F structure.

Cell and atoms, written as POSCAR:
```
CuTcN2F
1.0
-0.5571 2.4665 -2.8944
-3.7003 -1.0263 -0.1623
-0.9469 2.9834 2.7247
N Tc Cu F
2 1 1 1
direct
0.0000 0.5000 0.0000
0.5000 0.0000 0.0000
0.0000 0.0000 0.0000
0.5000 0.5000 0.5000
0.0000 0.0000 0.5000
```

relative energy among the computed polymorphs = 0 meV/atom
VASP energy = -6.30 eV/atom
energy relative to the elements, uncorrected = 1.47 eV per formula unit

---

(2)
The following is a DFT calculation (PBE-GGA) of a geometry-optimized PmDy2Pb2 structure.

Cell and atoms, written as POSCAR:
```
PmDy2Pb2
1.0
-2.5441 -3.4774 2.3995
5.6572 -2.9614 1.7063
1.6134 6.9544 6.7209
Pm Dy Pb
2 4 4
direct
0.6085 0.0135 0.2171
0.3915 0.5135 0.7829
0.0035 0.2674 0.0071
0.1849 0.5305 0.3698
0.8151 0.0305 0.6302
0.9965 0.7674 0.9929
0.5736 0.5179 0.1472
0.2056 0.0363 0.4111
0.7944 0.5363 0.5889
0.4264 0.0179 0.8528
```

E_form = -2.20 eV/f.u.
VASP energy = -4.71 eV/atom

---

(3)
The following is a DFT calculation (PBE-GGA) of a geometry-optimized Y2TlS4 structure.

Cell and atoms, written as POSCAR:
```
Y2TlS4
1.0
-5.3352 2.2755 5.7930
0.9292 -7.9367 -1.8269
10.7817 3.5429 8.5380
Y Tl S
8 4 16
direct
0.5000 0.0000 0.0000
0.0000 0.0000 0.5000
0.0000 0.5000 0.0000
0.5000 0.5000 0.5000
0.2502 0.0000 0.2500
0.7498 0.0000 0.7500
0.5000 0.0000 0.5000
0.0000 0.0000 0.0000
0.9372 0.3744 0.3123
0.4372 0.3744 0.8123
0.5628 0.6256 0.1877
0.0628 0.6256 0.6877
0.3556 0.7632 0.1183
0.8556 0.7633 0.6184
0.1444 0.2367 0.3816
0.6444 0.2368 0.8817
0.1445 0.7889 0.3813
0.6444 0.7889 0.8813
0.6314 0.7628 0.3947
0.1314 0.7628 0.8947
0.9077 0.7633 0.1184
0.4075 0.7632 0.6183
0.8686 0.2372 0.1053
0.3686 0.2372 0.6053
0.3556 0.2111 0.1187
0.8555 0.2111 0.6187
0.5925 0.2368 0.3817
0.0923 0.2367 0.8816
```

relative energy among the computed polymorphs = 0 meV/atom
VASP energy = -6.07 eV/atom
energy relative to the elements, uncorrected = -10.68 eV per formula unit

---

(4)
The following is a DFT calculation (PBE-GGA) of a geometry-optimized KGaAu structure.

Cell and atoms, written as POSCAR:
```
KGaAu
1.0
5.1809 0.0000 0.0000
0.0000 4.4652 0.0000
0.0000 -2.2326 3.8669
K Au Ga
1 1 1
direct
0.6666 0.3333 0.6667
0.1667 0.0000 0.0000
0.1667 0.6667 0.3333
```

E_form = -0.76 eV/f.u.
VASP energy = -2.72 eV/atom

---

(5)
The following is a DFT calculation (PBE-GGA) of a geometry-optimized NiGe2Pd2 structure.

Cell and atoms, written as POSCAR:
```
NiGe2Pd2
1.0
-3.1662 5.2592 1.6145
-2.9155 -3.1838 4.6533
2.7472 0.9301 2.3577
Ni Ge Pd
2 4 4
direct
0.0000 0.0000 0.0000
0.5000 0.5000 0.0000
0.3520 0.8520 0.0000
0.8520 0.6480 0.0000
0.6480 0.1480 0.0000
0.1480 0.3520 0.0000
0.1593 0.6593 0.5000
0.6593 0.8407 0.5000
0.8407 0.3407 0.5000
0.3407 0.1593 0.5000
```

E_form = -1.12 eV/f.u.
VASP energy = -5.30 eV/atom

---

(6)
The following is a DFT calculation (PBE-GGA) of a geometry-optimized Tl5I2F2 structure.

Cell and atoms, written as POSCAR:
```
Tl5I2F2
1.0
-3.0828 2.4080 -3.8302
-3.7801 -6.0555 3.1482
-2.1230 5.6280 5.2470
Tl I F
5 2 2
direct
0.3323 0.6646 0.1209
0.6677 0.3354 0.8791
0.1760 0.3520 0.5750
0.8240 0.6480 0.4250
0.0000 0.0000 0.0000
0.4107 0.8215 0.7201
0.5893 0.1785 0.2799
0.1758 0.3517 0.9112
0.8242 0.6483 0.0888
```

VASP energy = -3.03 eV/atom
energy relative to the elements, uncorrected = -8.58 eV per formula unit

---

(7)
The following is a DFT calculation (PBE-GGA) of a geometry-optimized Y3H2Pb structure.

Cell and atoms, written as POSCAR:
```
Y3H2Pb
1.0
3.6185 0.0000 0.0000
0.0000 6.2977 -0.6260
-1.8093 -2.4477 11.6239
Y H Pb
6 4 2
direct
0.2352 0.2550 0.4703
0.0331 0.7923 0.0661
0.3950 0.6564 0.7901
0.7648 0.7450 0.5297
0.6050 0.3436 0.2099
0.9669 0.2077 0.9339
0.2925 0.5984 0.5850
0.7075 0.4016 0.4150
0.9430 0.8329 0.8861
0.0570 0.1671 0.1139
0.3514 0.1262 0.7029
0.6486 0.8738 0.2971
```

VASP energy = -5.42 eV/atom

---

(8)
The following is a DFT calculation (PBE-GGA) of a geometry-optimized TbCeEr3Tm structure.

Cell and atoms, written as POSCAR:
```
TbCeEr3Tm
1.0
-4.2869 1.4569 -2.0741
1.8980 -7.0463 -2.8934
-5.0496 -4.3820 7.3591
Tb Ce Er Tm
2 2 6 2
direct
0.0000 0.0000 0.5000
0.0000 0.0000 0.0000
0.5000 0.9999 0.7500
0.5000 0.0001 0.2500
0.6653 0.3306 0.5000
0.3347 0.6694 0.5000
0.3347 0.6694 0.0000
0.6653 0.3306 0.0000
0.1675 0.3350 0.7500
0.8325 0.6650 0.2500
0.8326 0.6653 0.7500
0.1674 0.3347 0.2500
```

E_form = 0.33 eV/f.u.
VASP energy = -4.73 eV/atom

---

(9)
The following is a DFT calculation (PBE-GGA) of a geometry-optimized RbSi2Pt2 structure.

Cell and atoms, written as POSCAR:
```
RbSi2Pt2
1.0
-2.4525 1.8876 -2.9391
-1.7278 -3.7767 -0.9837
-6.7768 0.0197 2.5685
Si Rb Pt
2 1 2
direct
0.7500 0.2500 0.5000
0.2500 0.7500 0.5000
0.0000 0.0000 0.0000
0.3340 0.3340 0.3321
0.6660 0.6660 0.6679
```

relative energy among the computed polymorphs = 108 meV/atom
VASP energy = -5.23 eV/atom
energy relative to the elements, uncorrected = -2.23 eV per formula unit

---

(10)
The following is a DFT calculation (PBE-GGA) of a geometry-optimized CsNa2As2 structure.

Cell and atoms, written as POSCAR:
```
CsNa2As2
1.0
-1.0866 -5.1257 1.1552
3.3482 0.2336 4.1860
-2.8938 -0.8869 5.8028
Cs Na As
1 2 2
direct
0.0000 0.0000 0.0000
0.7500 0.2500 0.5000
0.2500 0.7500 0.5000
0.3869 0.3869 0.2262
0.6131 0.6131 0.7738
```

E_form = -1.89 eV/f.u.
relative energy among the computed polymorphs = 0 meV/atom
VASP energy = -2.94 eV/atom

---

(11)
The following is a DFT calculation (PBE-GGA) of a geometry-optimized SmPuIn6 structure.

Cell and atoms, written as POSCAR:
```
SmPuIn6
1.0
5.2603 0.0000 0.0000
0.0000 6.6837 -0.2171
0.0000 -3.1538 5.8968
Sm Pu In
1 1 6
direct
0.0000 0.0833 0.9167
0.5000 0.4166 0.5834
0.0000 0.0737 0.4119
0.0000 0.5881 0.9263
0.0000 0.5881 0.4119
0.5000 0.4293 0.0897
0.5000 0.9103 0.5707
0.5000 0.9103 0.0897
```

E_form = -2.37 eV/f.u.
relative energy among the computed polymorphs = 47 meV/atom
VASP energy = -4.73 eV/atom

---

(12)
The following is a DFT calculation (PBE-GGA) of a geometry-optimized MnTl2Ir structure.

Cell and atoms, written as POSCAR:
```
MnTl2Ir
1.0
-4.0879 2.1829 -1.5865
-2.4842 0.8379 -4.1376
-3.2861 -4.0790 0.0847
Ir Mn Tl
1 1 2
direct
0.7500 0.7500 0.7500
0.2500 0.2500 0.2500
0.0051 0.0051 0.9948
0.4949 0.4949 0.5052
```

E_form = 2.06 eV/f.u.
relative energy among the computed polymorphs = 234 meV/atom
VASP energy = -5.18 eV/atom

---

(13)
The following is a DFT calculation (PBE-GGA) of a geometry-optimized RbRuRh structure.

Cell and atoms, written as POSCAR:
```
RbRuRh
1.0
-0.2181 6.0406 11.1212
-1.2694 -4.3634 2.3451
4.3145 -0.9364 0.5932
Ru Rh Rb
4 4 4
direct
0.0000 0.0000 0.0000
0.5000 0.5000 0.5000
0.5000 0.0000 0.5000
0.0000 0.5000 0.0000
0.4701 0.2500 0.0000
0.0299 0.7500 0.5000
0.5299 0.7500 0.0000
0.9701 0.2500 0.5000
0.7253 0.2500 0.0008
0.7747 0.7500 0.5008
0.2747 0.7500 0.9992
0.2253 0.2500 0.4992
```

E_form = 1.85 eV/f.u.
relative energy among the computed polymorphs = 127 meV/atom
VASP energy = -5.25 eV/atom

---

(14)
The following is a DFT calculation (PBE-GGA) of a geometry-optimized PmGa3Pt structure.

Cell and atoms, written as POSCAR:
```
PmGa3Pt
1.0
-1.9131 -0.4524 3.8452
1.7862 -3.9088 0.4223
4.1525 0.0030 4.4855
Pm Ga Pt
1 3 1
direct
0.3850 0.1886 0.9357
0.6481 0.9515 0.4092
0.1480 0.4513 0.4092
0.7980 0.6018 0.1090
0.0287 0.8320 0.6480
```

E_form = -3.97 eV/f.u.
relative energy among the computed polymorphs = 0 meV/atom
VASP energy = -4.77 eV/atom

---

(15)
The following is a DFT calculation (PBE-GGA) of a geometry-optimized AlZn3Ga3 structure.

Cell and atoms, written as POSCAR:
```
AlZn3Ga3
1.0
-3.7759 1.0619 -3.1627
1.2425 -6.3530 -3.6166
-4.7348 0.1539 5.7046
Al Zn Ga
2 6 6
direct
0.2500 0.6667 0.3333
0.7500 0.3333 0.6667
0.2500 0.8188 0.7643
0.2500 0.2357 0.0545
0.2500 0.9455 0.1812
0.7500 0.1812 0.2357
0.7500 0.7643 0.9455
0.7500 0.0545 0.8188
0.7500 0.6257 0.5307
0.7500 0.4693 0.0951
0.7500 0.9049 0.3743
0.2500 0.3743 0.4693
0.2500 0.5307 0.9049
0.2500 0.0951 0.6257
```

E_form = 0.43 eV/f.u.
relative energy among the computed polymorphs = 16 meV/atom
VASP energy = -2.32 eV/atom

---

(16)
The following is a DFT calculation (PBE-GGA) of a geometry-optimized KVCd2Ru structure.

Cell and atoms, written as POSCAR:
```
KVCd2Ru
1.0
5.2307 0.0000 0.0000
0.0000 5.1459 0.0000
0.0000 0.0000 5.2307
Ru K V Cd
1 1 1 2
direct
0.0000 0.0000 0.0000
0.0000 0.5000 0.0000
0.5000 0.5000 0.5000
0.0000 0.0000 0.5000
0.5000 0.0000 0.0000
```

E_form = 7.79 eV/f.u.
VASP energy = -2.71 eV/atom

---

(17)
The following is a DFT calculation (PBE-GGA) of a geometry-optimized ReSiTc structure.

Cell and atoms, written as POSCAR:
```
ReSiTc
1.0
-2.0698 -2.5718 3.9085
2.0007 -3.4189 -1.1901
7.9376 4.2627 1.0981
Re Si Tc
4 4 4
direct
0.4152 0.0000 0.7692
0.4152 0.5000 0.2692
0.7933 0.0000 0.4542
0.7933 0.5000 0.9542
0.9071 0.0000 0.7656
0.9071 0.5000 0.2656
0.1484 0.0000 0.1096
0.1484 0.5000 0.6096
0.2522 0.0000 0.4199
0.2522 0.5000 0.9199
0.6449 0.0000 0.1098
0.6449 0.5000 0.6098
```

relative energy among the computed polymorphs = 104 meV/atom
VASP energy = -9.62 eV/atom
energy relative to the elements, uncorrected = -0.64 eV per formula unit

---

(18)
The following is a DFT calculation (PBE-GGA) of a geometry-optimized Cs3RbH2Cl6 structure.

Cell and atoms, written as POSCAR:
```
Cs3RbH2Cl6
1.0
7.4718 0.0000 0.0000
-3.7359 6.4707 0.0000
0.0000 0.0000 8.9391
Cs Rb H Cl
3 1 2 6
direct
0.3333 0.6667 0.6567
0.6667 0.3333 0.3433
0.0000 0.0000 0.0000
0.0000 0.0000 0.5000
0.6667 0.3333 0.7270
0.3333 0.6667 0.2730
0.6163 0.8081 0.2779
0.1919 0.3837 0.2779
0.1919 0.8081 0.2779
0.8081 0.6163 0.7221
0.3837 0.1919 0.7221
0.8081 0.1919 0.7221
```

VASP energy = -3.09 eV/atom

---

(19)
The following is a DFT calculation (PBE-GGA) of a geometry-optimized RbH6N2F structure.

Cell and atoms, written as POSCAR:
```
RbH6N2F
1.0
-4.9301 -4.4415 0.7912
5.5648 -1.1796 3.5072
-2.0603 3.7033 3.5137
Rb H N F
2 12 4 2
direct
0.1574 0.8426 0.2500
0.8426 0.1574 0.7500
0.0317 0.3206 0.3219
0.6794 0.9683 0.1781
0.9683 0.6794 0.6781
0.3206 0.0317 0.8219
0.2772 0.3480 0.2490
0.6520 0.7228 0.2510
0.7228 0.6520 0.7510
0.3480 0.2772 0.7490
0.2644 0.5002 0.5050
0.4998 0.7356 0.9950
0.7356 0.4998 0.4950
0.5002 0.2644 0.0050
0.3457 0.1912 0.8940
0.8088 0.6543 0.6060
0.6543 0.8088 0.1060
0.1912 0.3457 0.3940
0.7364 0.2636 0.2500
0.2636 0.7364 0.7500
```

VASP energy = -4.76 eV/atom

---

(20)
The following is a DFT calculation (PBE-GGA) of a geometry-optimized Zr3NbPd structure.

Cell and atoms, written as POSCAR:
```
Zr3NbPd
1.0
-1.1249 -3.0308 3.8632
-2.2146 -3.2242 -3.1743
4.3825 -2.4073 -0.6124
Nb Zr Pd
1 3 1
direct
0.0000 0.0000 0.0000
0.0000 0.5000 0.0000
0.0000 0.0000 0.5000
0.5000 0.0000 0.0000
0.5000 0.5000 0.5000
```

E_form = 4.56 eV/f.u.
relative energy among the computed polymorphs = 183 meV/atom
VASP energy = -7.27 eV/atom